{"formula": "FeNi2", "functional": "GGA-PBE", "state": "relaxed", "dos_ef_per_ev_cell": 5.06, "space_group": "Cmcm", "crystal_system": "orthorhombic", "formation_enthalpy_0k_ev_per_fu": -0.2, "lattice_angstrom": [[-0.5979, -3.3080, -1.0721], [1.7549, -0.4764, -5.3150], [3.2336, -0.9583, 1.1536]], "species": ["Fe", "Fe", "Ni", "Ni", "Ni", "Ni"], "fractional_positions": [[0.0871, 0.8257, 0.7500], [0.9129, 0.1743, 0.2500], [0.5819, 0.8362, 0.2500], [0.7496, 0.5008, 0.7500], [0.4181, 0.1638, 0.7500], [0.2504, 0.4992, 0.2500]]}